(1)
Compound: CaYHg3
Source: the Alexandria database
Functional: PBE-GGA
Structure: optimized geometry

magnetic moment = 0.0 μB/cell
offset from the most stable computed form = 563 meV per atom

Unit cell a=5.695 b=5.695 c=5.695 alpha=90.00 beta=90.00 gamma=90.00
Element x y z (fractional)
1 Ca 0.500 0.500 0.500
2 Hg 0.000 0.500 0.000
3 Hg 0.500 0.000 0.000
4 Hg 0.000 0.000 0.500
5 Y 0.000 0.000 0.000

---

(2)
Compound: CoMo3
Source: the Alexandria database
Functional: PBE-GGA
Structure: optimized geometry

magnetic moment = 0.0 μB/cell

Unit cell a=2.634 b=4.497 c=4.974 alpha=90.00 beta=90.00 gamma=90.00
Element x y z (fractional)
1 Co 0.000 0.000 0.002
2 Mo 0.000 0.500 0.315
3 Mo 0.500 0.000 0.522
4 Mo 0.500 0.500 0.828

---

(3)
Compound: CdIrAu2
Source: the Alexandria database
Functional: PBE-GGA
Structure: optimized geometry

magnetic moment = 0.0 μB/cell

Unit cell a=5.041 b=5.041 c=4.975 alpha=79.44 beta=79.44 gamma=34.58
Element x y z (fractional)
1 Ir 0.250 0.250 0.250
2 Cd 0.750 0.750 0.750
3 Au 0.993 0.993 0.010
4 Au 0.507 0.507 0.490

---

(4)
Compound: Dy2Ag2Pd3
Source: the Alexandria database
Functional: PBE-GGA
Structure: optimized geometry

magnetic moment = 0.0 μB/cell
offset from the most stable computed form = 0 meV per atom

Unit cell a=4.191 b=6.813 c=5.209 alpha=96.39 beta=113.72 gamma=90.00
Element x y z (fractional)
1 Dy 0.420 0.248 0.840
2 Ag 0.143 0.424 0.285
3 Ag 0.857 0.576 0.715
4 Pd 0.000 0.000 0.000
5 Pd 0.287 0.854 0.573
6 Dy 0.580 0.752 0.160
7 Pd 0.713 0.146 0.427

---

Number 1: calculated formation energy 112 meV per atom, DFT total energy -1.76 eV/atom. Number 2: calculated formation energy 283 meV per atom, DFT total energy -9.62 eV/atom. Number 3: calculated formation energy 183 meV per atom, DFT total energy -3.90 eV/atom. Number 4: calculated formation energy -632 meV per atom, DFT total energy -4.99 eV/atom.